[1]
The following is a DFT calculation (PBE) of an optimized crystal structure of NdGdCu2.

Cell lengths 7.1051, 7.1051, 7.1051 Å; angles 90.00, 90.00, 90.00 degrees
With the nearest neighbours (Å) after each atom.
Space group Fm-3m (No. 225)
One atom of each set of equivalent atoms:
Nd 0.0000 0.0000 0.0000 (multiplicity 4)  8 Cu 3.08
Gd 0.0000 0.0000 0.5000 (multiplicity 4)  8 Cu 3.08
Cu 0.2500 0.2500 0.2500 (multiplicity 8)  4 Gd 3.08, 4 Nd 3.08

Results
Total magnetization = 29.36 μB/cell
ΔE to the lowest computed polymorph = 7.7 meV per atom
Calculated formation energy = -171 meV/atom

=====

[2]
The following is a DFT calculation (PBE) of an optimized crystal structure of SmEr2Hg.

Cell lengths 3.6328, 3.6328, 31.3880 Å; angles 90.00, 90.00, 120.00 degrees
With the nearest neighbours (Å) after each atom.
Space group R3m (No. 160, hexagonal axes)
One atom of each set of equivalent atoms:
Sm 0.0000 0.0000 0.0000 (multiplicity 3)  6 Er 3.56-3.57, 6 Sm 3.63
Er 0.0000 0.0000 0.5747 (multiplicity 3)  3 Hg 3.15
Er 0.0000 0.0000 0.7584 (multiplicity 3)  3 Hg 3.14
Hg 0.0000 0.0000 0.1663 (multiplicity 3)  6 Er 3.14-3.15

Results
Total magnetization = 0.01 μB/cell
ΔE to the lowest computed polymorph = 80.8 meV per atom
Calculated formation energy = -154 meV/atom

=====

[3]
The following is a DFT calculation (PBE) of an optimized crystal structure of Li2Pt3.

Cell lengths 4.6541, 4.6541, 25.9736 Å; angles 90.00, 90.00, 120.00 degrees
With the nearest neighbours (Å) after each atom.
Space group R-3c (No. 167, hexagonal axes)
One atom of each set of equivalent atoms:
Li 0.0000 0.0000 0.1674 (multiplicity 12)  6 Pt 2.66-2.67, 3 Li 2.69
Pt 0.0000 0.3375 0.2500 (multiplicity 18)  4 Li 2.66-2.67, 6 Pt 2.67-2.72

Results
Total magnetization = 0.00 μB/cell
ΔE to the lowest computed polymorph = 0.0 meV per atom
Calculated formation energy = -478 meV/atom